Computed, not measured: crystalline LiCo2O4 at its relaxed geometry at the PBE+U level of DFT.

Lattice parameters (Å, degrees): 5.729 5.729 5.729 120.00 90.00 120.00
Positions (direct):
O: 0.259 0.518 0.741
Co: 0.500 0.000 0.500
O: 0.741 0.482 0.259
O: 0.741 0.018 0.259
O: 0.277 0.018 0.259
Co: 0.500 0.000 0.000
O: 0.723 0.982 0.741
O: 0.259 0.518 0.277
O: 0.259 0.982 0.741
Li: 0.875 0.750 0.125
Li: 0.125 0.250 0.875
O: 0.741 0.482 0.723
Co: 0.000 0.500 0.500
Co: 0.500 0.500 0.500

The value obtained for the energy above the lowest structure with this stoichiometry is 135.2 meV/atom. For the volume, the calculation gives 133 Å³/cell.